Record 1
The following is a DFT calculation (PBE) of crystalline SnPb5Au at its relaxed geometry.

Structure (POSCAR):
```
SnPb5Au
1.0
4.842 -3.877 0.000
4.842 3.877 0.000
-4.067 0.000 11.192
Sn Pb Au
2 10 2
Cartesian
1.792 3.365 8.394 Sn
3.825 -3.365 2.798 Sn
1.739 2.736 4.986 Pb
-1.060 1.693 9.645 Pb
5.911 2.736 0.610 Pb
0.973 -1.693 4.049 Pb
1.792 0.206 8.394 Pb
3.825 -0.206 2.798 Pb
4.644 1.693 7.143 Pb
-0.294 -2.736 10.582 Pb
6.677 -1.693 1.547 Pb
3.878 -2.736 6.207 Pb
4.842 0.000 0.000 Au
2.808 0.000 5.596 Au
```

Energy of formation from the pure elements, eV/f.u.: 0.3
SG: C2/c



Record 2
The following is a DFT calculation (PBE) of crystalline SiMoAs at its relaxed geometry.

Structure (POSCAR):
```
SiMoAs
1.0
4.525 0.000 0.000
-2.263 3.919 0.000
0.000 0.000 2.669
Si Mo As
1 1 1
Cartesian
0.000 0.000 0.000 Si
0.000 2.613 1.334 Mo
2.263 1.306 1.334 As
```

Distance to the lowest polymorph of the same formula, meV per atom: 525
ΔE_f (raw), meV per atom: 251.4
SG: P-6m2



Record 3
The following is a DFT calculation (PBE) of crystalline BaAuN at its relaxed geometry.

Structure (POSCAR):
```
BaAuN
1.0
4.005 0.000 0.000
0.000 8.561 0.000
0.000 0.000 8.257
Ba Au N
4 4 4
Cartesian
0.000 1.765 0.000 Ba
0.000 2.515 4.129 Ba
0.000 6.046 4.129 Ba
0.000 6.795 0.000 Ba
2.003 0.000 2.751 Au
2.003 0.000 5.516 Au
2.003 4.280 1.387 Au
2.003 4.280 6.880 Au
0.000 0.000 5.955 N
0.000 4.280 1.826 N
2.003 0.000 0.760 N
2.003 4.280 4.888 N
```

ΔE_f (raw), meV per atom: -213.9
SG: Amm2



Record 4
The following is a DFT calculation (PBE) of crystalline Zr4TcIr2 at its relaxed geometry.

Structure (POSCAR):
```
Zr4TcIr2
1.0
2.310 1.334 7.509
-2.310 1.334 7.509
0.000 -2.667 7.509
Zr Tc Ir
4 1 2
Cartesian
0.000 0.000 2.768 Zr
0.000 0.000 8.417 Zr
0.000 0.000 14.110 Zr
0.000 0.000 19.760 Zr
0.000 0.000 11.264 Tc
0.000 0.000 5.629 Ir
0.000 0.000 16.898 Ir
```

Energy of formation from the pure elements, eV/f.u.: -4.6
SG: R-3m



Record 5
The following is a DFT calculation (PBE) of crystalline Rb2TeS at its relaxed geometry.

Structure (POSCAR):
```
Rb2TeS
1.0
9.221 0.000 0.000
0.000 9.731 0.000
0.000 0.000 6.666
Rb Te S
8 4 4
Cartesian
1.135 0.512 1.581 Rb
1.135 4.353 1.581 Rb
3.476 5.377 4.914 Rb
3.476 9.219 4.914 Rb
5.745 0.512 1.752 Rb
5.745 4.353 1.752 Rb
8.086 5.377 5.085 Rb
8.086 9.219 5.085 Rb
1.183 2.433 4.883 Te
3.427 7.298 1.550 Te
5.794 2.433 5.117 Te
8.037 7.298 1.784 Te
1.245 7.298 0.036 S
3.365 2.433 3.369 S
5.856 7.298 3.297 S
7.975 2.433 6.630 S
```

Distance to the lowest polymorph of the same formula, meV per atom: 0
ΔE_f (raw), meV per atom: -874.0
SG: Pnma



Record 6
The following is a DFT calculation (PBE) of crystalline YTaCu4 at its relaxed geometry.

Structure (POSCAR):
```
YTaCu4
1.0
0.000 3.589 3.589
3.589 0.000 3.589
3.589 3.589 0.000
Y Ta Cu
1 1 4
Cartesian
0.000 0.000 0.000 Y
5.383 5.383 5.383 Ta
2.701 2.701 2.701 Cu
4.477 4.477 2.701 Cu
4.477 2.701 4.477 Cu
2.701 4.477 4.477 Cu
```

Energy of formation from the pure elements, eV/f.u.: 0.7
SG: F-43m



Record 7
The following is a DFT calculation (PBE) of crystalline Ta2Be16Pt at its relaxed geometry.

Structure (POSCAR):
```
Ta2Be16Pt
1.0
3.748 2.164 3.633
-3.748 2.164 3.633
0.000 -4.328 3.633
Ta Be Pt
2 16 1
Cartesian
0.000 0.000 0.000 Ta
0.000 0.000 3.409 Ta
0.000 -2.126 1.870 Be
-1.841 1.063 1.870 Be
-1.913 -1.104 5.388 Be
0.000 -2.231 5.262 Be
-1.932 1.115 5.262 Be
-1.112 -1.930 7.181 Be
-2.228 0.002 7.181 Be
1.841 1.063 1.870 Be
1.112 -1.930 7.181 Be
-1.115 1.928 7.181 Be
1.913 -1.104 5.388 Be
0.000 2.208 5.388 Be
0.000 0.000 8.406 Be
1.932 1.115 5.262 Be
2.228 0.002 7.181 Be
1.115 1.928 7.181 Be
0.000 0.000 6.163 Pt
```

Energy of formation from the pure elements, eV/f.u.: -5.2
SG: R3m



Record 8
The following is a DFT calculation (PBE) of crystalline MnIrRu2 at its relaxed geometry.

Structure (POSCAR):
```
MnIrRu2
1.0
2.704 0.000 0.000
-1.352 2.341 0.000
0.000 0.000 25.936
Mn Ir Ru
3 3 6
Cartesian
0.000 0.000 0.000 Mn
0.000 1.561 17.291 Mn
1.352 0.780 8.645 Mn
0.000 0.000 6.546 Ir
0.000 1.561 23.837 Ir
1.352 0.780 15.191 Ir
0.000 0.000 12.935 Ru
0.000 0.000 19.397 Ru
0.000 1.561 4.289 Ru
0.000 1.561 10.752 Ru
1.352 0.780 2.106 Ru
1.352 0.780 21.580 Ru
```

Distance to the lowest polymorph of the same formula, meV per atom: 135
Energy of formation from the pure elements, eV/f.u.: 0.3
SG: R3m